## LaPm5Ru2 (PBE-GGA)

Data for a relaxed LaPm5Ru2 crystal.

a b c (Å): 4.925 7.463 7.463
angles (deg): 70.37 70.73 70.73
Positions (direct):
La 0.000 0.000 0.000
Pm 0.000 0.500 0.500
Pm 0.662 0.532 0.144
Pm 0.338 0.468 0.856
Pm 0.338 0.856 0.468
Pm 0.662 0.144 0.532
Ru 0.736 0.764 0.764
Ru 0.264 0.236 0.236

Calculated values
Its formation energy is -2 kJ/mol of formula units. For the magnetic moment, the calculation gives 0.000 Bohr magnetons per cell.